Entry 1:
5
Lattice="-4.722 0.903 -3.719 1.834 -4.650 -3.458 -3.633 -4.119 3.612" Properties=species:S:1:pos:R:3 comment="CsK2PtAu, relaxed, DFT PBE-GGA" magmom_total_mub_per_atom=0.00 total_energy_ev_per_atom=-2.497 e_above_lowest_polymorph_mev_per_atom=17.9 e_form_ev_per_atom=-0.024 pbc="T T T"
Cs -1.816 -2.059 1.806
K 0.917 -2.325 -1.729
Pt 0.000 0.000 0.000
Au -3.260 -3.933 -1.782
K -2.361 0.452 -1.859

=====

Entry 2:
5
Lattice="6.109 0.000 0.000 0.000 6.109 0.000 0.000 0.000 5.347" Properties=species:S:1:pos:R:3 comment="CsK2PtAu, relaxed, DFT PBE-GGA" magmom_total_mub_per_atom=0.00 total_energy_ev_per_atom=-2.515 n_ef_per_ev_atom=0.221 e_above_lowest_polymorph_mev_per_atom=0.0 e_form_ev_per_atom=-0.041 pbc="T T T"
Cs 3.055 3.055 2.673
K 3.055 0.000 0.000
Pt 0.000 0.000 0.000
Au 0.000 0.000 2.673
K 0.000 3.055 0.000

=====

Entry 3:
5
Lattice="6.532 0.000 0.000 0.000 6.532 0.000 0.000 0.000 5.366" Properties=species:S:1:pos:R:3 comment="Cs2KPtAu, relaxed, DFT PBE-GGA" magmom_total_mub_per_atom=0.00 total_energy_ev_per_atom=-2.384 n_ef_per_ev_atom=0.738 e_above_lowest_polymorph_mev_per_atom=87.8 e_form_ev_per_atom=0.041 pbc="T T T"
Cs 0.000 3.266 0.000
K 3.266 3.266 2.683
Cs 3.266 0.000 0.000
Pt 0.000 0.000 0.000
Au 0.000 0.000 2.683

=====

Entry 4:
5
Lattice="-2.389 -5.894 1.662 5.371 -2.874 -2.471 2.718 0.425 5.414" Properties=species:S:1:pos:R:3 comment="Cs2KPtAu, relaxed, DFT PBE-GGA" magmom_total_mub_per_atom=0.00 total_energy_ev_per_atom=-2.471 e_above_lowest_polymorph_mev_per_atom=0.0 e_form_ev_per_atom=-0.047 pbc="T T T"
Pt 0.000 0.000 0.000
Cs 2.686 -1.437 -1.235
K 1.359 0.213 2.707
Au 2.850 -4.171 2.303
Cs -1.194 -2.947 0.831

=====

Entry 5:
5
Lattice="6.785 0.000 0.000 0.000 6.785 0.000 0.000 0.000 7.153" Properties=species:S:1:pos:R:3 comment="CsK2RbAu, relaxed, DFT PBE-GGA" magmom_total_mub_per_atom=0.00 total_energy_ev_per_atom=-1.575 n_ef_per_ev_atom=0.945 e_above_lowest_polymorph_mev_per_atom=0.0 e_form_ev_per_atom=-0.117 pbc="T T T"
Au 0.000 0.000 0.000
K 3.392 0.000 0.000
Cs 0.000 0.000 3.576
Rb 3.392 3.392 3.576
K 0.000 3.392 0.000

=====

Entry 6:
11
Lattice="-5.943 2.637 1.800 0.465 -3.780 -5.569 -3.945 -16.139 10.626" Properties=species:S:1:pos:R:3 comment="Cs4K2Rb3Au2, relaxed, DFT PBE-GGA" magmom_total_mub_per_atom=0.00 total_energy_ev_per_atom=-1.434 n_ef_per_ev_atom=1.032 e_form_ev_per_atom=-0.065 pbc="T T T"
K -7.395 -14.180 9.008
Cs -4.793 -14.416 5.299
Cs -6.047 -8.665 5.377
Cs -3.376 -8.617 1.480
Au -4.087 -11.528 3.397
Rb 0.000 0.000 0.000
Rb -2.601 -10.641 7.006
Au -5.335 -5.754 3.460
K -2.028 -3.102 -2.151
Cs -4.629 -2.866 1.559
Rb -1.344 -5.498 3.620

=====

Entry 7:
4
Lattice="-1.429 5.346 -3.562 -2.004 -0.640 -6.235 -6.246 1.315 -1.600" Properties=species:S:1:pos:R:3 comment="CsKRbAu, relaxed, DFT PBE-GGA" magmom_total_mub_per_atom=0.00 total_energy_ev_per_atom=-1.574 n_ef_per_ev_atom=0.253 e_above_lowest_polymorph_mev_per_atom=126.5 e_form_ev_per_atom=-0.025 pbc="T T T"
K -7.259 4.515 -8.548
Rb -4.840 3.010 -5.699
Au -2.420 1.505 -2.849
Cs 0.000 0.000 0.000

=====

Entry 8:
12
Lattice="-9.209 2.016 6.226 3.830 -0.434 7.875 1.105 10.532 6.509" Properties=species:S:1:pos:R:3 comment="Cs2KRb8Au, relaxed, DFT PBE-GGA" magmom_total_mub_per_atom=0.00 total_energy_ev_per_atom=-1.199 n_ef_per_ev_atom=0.846 e_form_ev_per_atom=-0.047 pbc="T T T"
Rb -5.533 4.805 12.765
Rb 1.259 7.309 7.845
Cs -2.992 9.154 13.323
Rb -2.229 11.162 17.982
Au 0.000 0.000 0.000
Rb -2.045 0.951 2.628
Rb -0.538 4.858 11.921
Cs -1.282 2.960 7.287
Rb -6.500 3.089 8.141
Rb -3.736 7.256 8.689
K 0.553 5.266 3.255
Rb 2.226 9.025 12.470

=====

Entry 9:
10
Lattice="5.173 0.000 0.000 0.000 9.075 0.393 0.000 -2.849 14.199" Properties=species:S:1:pos:R:3 comment="CsK2RbAu, relaxed, DFT PBE-GGA" magmom_total_mub_per_atom=0.00 total_energy_ev_per_atom=-1.569 n_ef_per_ev_atom=0.656 e_above_lowest_polymorph_mev_per_atom=6.8 e_form_ev_per_atom=-0.110 pbc="T T T"
Cs 1.293 7.927 1.925
K 1.293 2.155 4.619
Rb 1.293 -0.046 8.625
K 3.880 4.071 9.973
K 3.880 4.132 1.846
Cs 3.880 -1.702 12.667
Rb 3.880 6.272 5.967
Au 3.880 3.879 13.787
K 1.293 2.094 12.746
Au 1.293 2.347 0.805

=====

Entry 10:
12
Lattice="5.795 0.000 0.000 0.000 8.824 0.000 0.000 0.000 11.421" Properties=species:S:1:pos:R:3 comment="Cs2KRbAu2, relaxed, DFT PBE-GGA" magmom_total_mub_per_atom=0.00 total_energy_ev_per_atom=-1.912 n_ef_per_ev_atom=0.651 e_form_ev_per_atom=-0.190 pbc="T T T"
Cs 0.000 3.268 2.111
K 0.000 4.390 6.886
Au 2.897 2.027 3.842
Rb 2.897 1.399 7.393
Au 0.000 6.784 1.536
Cs 2.897 0.183 0.781
Cs 0.000 7.680 9.311
Au 0.000 2.372 9.886
K 0.000 8.802 4.535
Au 2.897 6.439 7.579
Rb 2.897 5.811 4.029
Cs 2.897 4.595 10.640

=====

Entry 11:
12
Lattice="8.105 -2.690 0.012 -2.784 9.007 0.032 0.009 0.057 13.682" Properties=species:S:1:pos:R:3 comment="Cs2K8RbAu, relaxed, DFT PBE-GGA" magmom_total_mub_per_atom=0.00 total_energy_ev_per_atom=-1.237 n_ef_per_ev_atom=0.749 e_form_ev_per_atom=-0.009 pbc="T T T"
Cs 2.646 3.195 4.150
K -1.348 7.072 11.355
K 2.117 5.297 13.691
K -1.367 6.985 2.378
K 0.154 5.916 6.886
K 6.698 -0.610 11.349
K 3.214 1.078 0.035
K 6.678 -0.697 2.371
Au 0.000 0.000 0.000
K 5.176 0.459 6.841
Rb 0.005 0.029 6.841
Cs 2.684 3.180 9.576

=====

Entry 12:
9
Lattice="5.336 0.000 0.000 -2.668 9.686 0.985 0.000 -2.308 7.211" Properties=species:S:1:pos:R:3 comment="Cs2KRb2Au4, relaxed, DFT PBE-GGA" magmom_total_mub_per_atom=0.00 total_energy_ev_per_atom=-2.242 n_ef_per_ev_atom=0.337 e_form_ev_per_atom=-0.258 pbc="T T T"
Au 0.000 8.972 3.190
Au 2.668 -1.594 5.005
Cs 0.000 1.074 4.279
Cs 2.668 6.304 3.917
Au 0.000 4.214 2.409
Rb 2.668 2.824 0.856
K 0.000 0.000 0.000
Au 2.668 3.164 5.786
Rb 0.000 4.554 7.340

=====

Entry 13:
11
Lattice="-6.699 -1.418 -0.749 4.073 0.412 -5.540 3.631 -17.861 1.340" Properties=species:S:1:pos:R:3 comment="Cs3K2Rb4Au2, relaxed, DFT PBE-GGA" magmom_total_mub_per_atom=0.00 total_energy_ev_per_atom=-1.435 n_ef_per_ev_atom=1.059 e_form_ev_per_atom=-0.055 pbc="T T T"
Rb -1.021 -11.075 -1.575
K 0.107 -16.626 -1.159
Au 2.702 -11.115 -3.123
Rb 2.026 -7.792 -3.373
Cs 2.403 -11.820 0.887
Rb 3.377 -14.439 -2.874
Au -1.697 -7.752 -1.825
Cs 0.000 0.000 0.000
Rb -2.373 -4.428 -2.074
K 0.898 -2.241 -3.789
Cs 1.228 -6.042 0.453

=====

Entry 14:
12
Lattice="-6.448 0.536 6.266 6.765 -0.623 7.014 -0.832 12.712 -4.865" Properties=species:S:1:pos:R:3 comment="Cs6K3Rb2Au, relaxed, DFT PBE-GGA" magmom_total_mub_per_atom=0.00 total_energy_ev_per_atom=-1.157 n_ef_per_ev_atom=0.929 e_form_ev_per_atom=-0.022 pbc="T T T"
Cs 0.300 10.373 7.429
Rb 4.259 5.290 3.159
Cs 1.626 10.202 2.717
Cs -0.815 2.252 0.986
Rb -4.774 7.335 5.256
K 3.382 -0.311 3.507
K -0.258 6.313 4.208
Cs -2.141 2.423 5.698
Au -3.224 0.268 3.133
K -3.640 6.624 0.701
Cs 1.222 2.113 9.185
Cs -1.738 10.512 -0.770

=====

Entry 15:
6
Lattice="-2.230 4.946 -2.021 1.206 -1.668 -5.412 -12.070 -7.695 2.781" Properties=species:S:1:pos:R:3 comment="CsK2Rb2Au, relaxed, DFT PBE-GGA" magmom_total_mub_per_atom=0.00 total_energy_ev_per_atom=-1.370 n_ef_per_ev_atom=0.692 e_form_ev_per_atom=0.007 pbc="T T T"
Rb -7.406 -0.555 -1.479
Rb -5.688 -3.862 -3.174
Au 0.000 0.000 0.000
K -10.190 -3.019 -4.437
Cs -0.512 1.639 -3.717
K -2.905 -1.398 -0.216

=====

Entry 16:
8
Lattice="-0.493 -4.578 -3.603 4.780 -2.353 -2.408 2.254 -8.276 5.463" Properties=species:S:1:pos:R:3 comment="CsK2RbAu4, relaxed, DFT PBE-GGA" magmom_total_mub_per_atom=0.00 total_energy_ev_per_atom=-2.418 n_ef_per_ev_atom=0.008 e_form_ev_per_atom=-0.277 pbc="T T T"
Au 1.939 -6.000 2.614
Rb 3.270 -7.604 -0.274
K 4.902 -11.381 -0.443
Cs 0.000 0.000 0.000
Au 4.602 -9.207 -3.162
K 1.639 -3.827 -0.106
Au 3.572 -9.789 2.461
Au 2.968 -5.418 -3.010

=====

Entry 17:
8
Lattice="-4.759 -2.189 -2.709 0.195 -5.374 -2.420 -4.502 -6.397 6.658" Properties=species:S:1:pos:R:3 comment="CsKRb2Au4, relaxed, DFT PBE-GGA" magmom_total_mub_per_atom=0.00 total_energy_ev_per_atom=-2.408 n_ef_per_ev_atom=0.004 e_form_ev_per_atom=-0.284 pbc="T T T"
Au -5.606 -8.376 3.778
Au -5.712 -9.056 -1.904
Rb -6.788 -10.456 1.118
Cs 0.000 0.000 0.000
Rb -2.277 -3.503 0.412
K -4.533 -6.980 0.765
Au -3.353 -4.903 3.434
Au -3.459 -5.584 -2.248

=====

Entry 18:
9
Lattice="-7.124 0.082 -6.642 8.544 -4.172 -2.112 -0.832 -5.597 7.928" Properties=species:S:1:pos:R:3 comment="Cs2K5RbAu, relaxed, DFT PBE-GGA" magmom_total_mub_per_atom=0.00 total_energy_ev_per_atom=-1.327 n_ef_per_ev_atom=0.959 e_form_ev_per_atom=-0.056 pbc="T T T"
K -1.601 -2.342 -1.828
Cs -2.053 -5.196 2.095
K 1.927 -2.441 1.453
K 6.249 -4.515 0.339
Cs 2.635 -4.483 -2.925
K 1.455 -5.244 5.472
Au 0.034 -0.043 0.026
K 2.181 -7.335 0.996
Rb 5.775 -7.316 4.356

=====

Entry 19:
16
Lattice="-5.766 7.378 8.295 1.813 -7.873 9.551 10.014 4.066 -11.051" Properties=species:S:1:pos:R:3 comment="Cs2K4RbAu, relaxed, DFT PBE-GGA" magmom_total_mub_per_atom=0.00 total_energy_ev_per_atom=-1.329 n_ef_per_ev_atom=0.683 e_form_ev_per_atom=-0.036 pbc="T T T"
Cs 2.124 5.722 -1.378
K -4.266 4.453 8.578
Cs 8.037 3.819 -2.127
K 0.079 0.244 3.321
Rb 10.920 0.130 -6.275
Cs -2.883 3.689 4.148
Au 3.031 1.786 3.398
Rb 5.914 -1.903 -0.750
Au -5.766 7.378 8.295
K 10.327 -0.881 -1.782
K 4.459 -1.181 3.601
K 1.602 4.753 3.195
K 3.006 1.432 0.086
K 5.982 3.328 3.475
Cs 6.820 -5.839 4.026
K 3.055 2.140 6.710

=====

Entry 20:
20
Lattice="-6.488 -5.506 -3.287 6.162 -0.002 -12.161 7.657 -11.641 3.882" Properties=species:S:1:pos:R:3 comment="Cs6K2RbAu, relaxed, DFT PBE-GGA" magmom_total_mub_per_atom=0.00 total_energy_ev_per_atom=-1.218 n_ef_per_ev_atom=0.991 e_form_ev_per_atom=-0.062 pbc="T T T"
Rb -3.244 -2.753 -1.643
K 6.783 -1.802 -11.036
Cs 3.450 -6.485 -0.465
Cs 7.469 -10.134 -1.942
Cs -1.142 -7.066 -2.491
Cs 2.027 -10.977 -2.017
Cs 5.305 -6.173 -9.549
Rb 6.910 -5.822 -4.139
Au 3.081 -0.001 -6.080
Cs 2.002 -2.090 -8.842
Au 0.585 -8.574 0.298
Cs 5.265 -14.746 -8.018
Cs 2.067 -2.403 -3.548
Cs 3.882 -10.664 -11.100
K 2.392 -6.774 -5.618
K 4.940 -10.375 -5.947
Cs 8.474 -10.083 -9.074
Cs 5.330 -15.059 -2.724
Cs -0.137 -7.015 -9.624
K 0.549 -15.347 -0.530

=====

Entry 21:
12
Lattice="10.201 0.000 0.000 5.100 8.285 2.650 5.100 6.412 13.705" Properties=species:S:1:pos:R:3 comment="Cs8KRbAu2, relaxed, DFT PBE-GGA" magmom_total_mub_per_atom=0.00 total_energy_ev_per_atom=-1.381 n_ef_per_ev_atom=0.967 e_form_ev_per_atom=-0.094 pbc="T T T"
Cs 5.100 5.244 6.003
Au 5.100 4.719 1.991
Cs 12.745 12.416 13.381
Cs 2.544 2.282 2.974
Cs 10.201 8.670 12.685
Cs 10.201 6.027 3.670
Cs 7.657 2.282 2.974
Cs 17.857 12.416 13.381
Au 15.301 9.979 14.364
Cs 15.301 9.454 10.352
K 0.000 0.000 0.000
Rb 10.201 7.349 8.178

=====

Entry 22:
18
Lattice="12.257 -0.430 -0.305 5.680 10.871 -0.305 5.680 3.306 10.360" Properties=species:S:1:pos:R:3 comment="Cs2KRb12Au3, relaxed, DFT PBE-GGA" magmom_total_mub_per_atom=0.00 total_energy_ev_per_atom=-1.424 n_ef_per_ev_atom=0.793 e_form_ev_per_atom=-0.077 pbc="T T T"
Rb 13.688 7.968 0.630
K 0.000 0.000 0.000
Cs 9.810 5.710 4.050
Rb 9.567 10.308 7.312
Rb 8.425 1.895 1.344
Rb 13.688 3.228 7.312
Rb 15.192 11.852 8.407
Rb 17.808 10.366 4.164
Au 2.840 1.653 5.180
Rb 17.808 7.357 8.407
Au 2.840 5.435 -0.152
Rb 9.928 10.518 2.439
Rb 5.808 3.381 5.587
Rb 5.808 6.390 1.344
Rb 14.049 3.439 2.439
Au 6.129 -0.215 -0.152
Cs 13.807 8.037 5.700
Rb 9.928 5.779 9.121

=====

Entry 23:
9
Lattice="7.975 -0.763 -0.519 0.893 9.797 0.498 0.893 4.061 8.930" Properties=species:S:1:pos:R:3 comment="Cs2K4Rb2Au, relaxed, DFT PBE-GGA" magmom_total_mub_per_atom=0.00 total_energy_ev_per_atom=-1.320 n_ef_per_ev_atom=0.803 e_form_ev_per_atom=-0.064 pbc="T T T"
K 2.769 3.967 6.102
Rb 2.264 2.089 1.421
Rb 7.497 11.005 7.487
K 2.769 7.133 1.450
Au 3.987 -0.382 -0.260
Cs 6.613 4.314 2.935
Cs 3.148 8.780 5.973
K 6.991 5.962 7.459
K 6.991 9.127 2.806

=====

| no. | volume (Å³/f.u.) |
| --- | --- |
| 1 | 242.8 |
| 2 | 199.5 |
| 3 | 228.9 |
| 4 | 262.4 |
| 5 | 329.3 |
| 6 | 777.4 |
| 7 | 201.5 |
| 8 | 1011.2 |
| 9 | 336.2 |
| 10 | 292.0 |
| 11 | 896.4 |
| 12 | 384.8 |
| 13 | 751.0 |
| 14 | 1105.4 |
| 15 | 469.2 |
| 16 | 284.0 |
| 17 | 291.9 |
| 18 | 655.2 |
| 19 | 645.5 |
| 20 | 899.4 |
| 21 | 985.0 |
| 22 | 1432.0 |
| 23 | 689.9 |